Below is a geometry-optimized Li4ScAs structure, with properties calculated at the PBE level.

a = 7.4616 Å, b = 7.4616 Å, c = 7.4616 Å
α = 90.00°, β = 90.00°, γ = 90.00°
With the nearest neighbours (Å) after each atom.
Space group F-43m (No. 216)
One atom of each set of equivalent atoms:
Li 0.1254 0.1254 0.1254 x16  6 Li 2.63-2.65
Sc 0.2500 0.2500 0.7500 x4  12 Li 3.09, 4 As 3.23
As 0.0000 0.0000 0.5000 x4  12 Li 3.09, 4 Sc 3.23

## Properties
energy of formation = -0.239 eV/f.u.